1.
9
Lattice="4.032 0.000 0.000 0.000 6.110 3.473 0.000 -6.110 3.473" Properties=species:S:1:pos:R:3 comment="Nd2YAl3Ni3 | OQMD via LeMat-Bulk | PBE | relaxed" total_energy_ev_per_cell=-48.821 pbc="T T T"
Al 2.016 1.384 6.118
Al 2.016 -1.384 6.118
Al 2.016 0.000 1.615
Nd 0.000 2.550 1.459
Ni 0.000 0.000 6.918
Nd 0.000 -2.550 1.459
Ni 2.016 1.983 3.491
Ni 2.016 -1.983 3.491
Y 0.000 0.000 4.060



2.
8
Lattice="4.155 0.000 0.000 -2.078 3.598 0.000 0.000 0.000 8.648" Properties=species:S:1:pos:R:3 comment="NdZrAl2Ni4 | OQMD via LeMat-Bulk | PBE | relaxed" total_energy_ev_per_cell=-47.490 pbc="T T T"
Al 2.078 1.199 6.288
Ni 0.000 0.000 2.961
Ni 0.000 2.399 6.933
Ni 0.000 0.000 5.687
Nd 0.000 0.000 0.000
Zr 0.000 2.399 4.324
Al 2.078 1.199 2.359
Ni 0.000 2.399 1.714



3.
20
Lattice="-6.507 0.168 -3.393 2.066 -6.998 -0.803 -2.516 -1.289 4.761" Properties=species:S:1:pos:R:3 comment="Nd3AlO6 | OQMD via LeMat-Bulk | PBE | relaxed" total_energy_ev_per_cell=-161.578 pbc="T T T"
Nd -0.016 -2.118 -0.371
O -7.057 -0.653 -1.474
O -2.164 -2.808 0.043
O -0.556 -5.867 0.130
O -5.057 -5.446 1.020
Al -2.091 -6.899 3.435
O -0.543 -7.795 3.255
Nd -5.848 -5.441 -1.133
O -5.814 -3.151 -1.735
O -6.716 -2.414 1.030
O -2.934 -7.255 1.896
Nd -2.755 -6.330 -2.959
Nd -3.109 -1.229 1.455
O -1.598 -5.200 3.158
Nd -3.311 -2.759 -2.011
O -3.579 -4.985 -1.294
O -3.641 -3.269 2.357
Al -6.100 -1.852 -0.536
O -4.478 -1.097 -0.472
Nd -2.768 -4.910 0.914



4.
3
Lattice="0.000 3.519 3.519 3.519 0.000 3.519 3.519 3.519 0.000" Properties=species:S:1:pos:R:3 comment="NdPaAl | OQMD via LeMat-Bulk | PBE | relaxed" de_polymorph_kcal_per_mol_atoms=0.00 total_energy_ev_per_cell=-16.853 pbc="T T T"
Nd 1.760 1.760 1.760
Al 0.000 0.000 0.000
Pa 5.279 5.279 5.279



5.
12
Lattice="2.267 -7.363 0.000 2.267 7.363 0.000 0.000 0.000 11.326" Properties=species:S:1:pos:R:3 comment="NdAlTe3Pb | OQMD via LeMat-Bulk | PBE | relaxed" total_energy_ev_per_cell=-50.283 pbc="T T T"
Te 2.267 5.195 0.660
Te 2.267 5.195 5.003
Te 2.267 -5.195 10.666
Pb 2.267 3.072 8.494
Te 2.267 1.449 2.831
Al 2.267 7.031 2.831
Te 2.267 -5.195 6.323
Te 2.267 -1.449 8.494
Pb 2.267 -3.072 2.831
Nd 2.267 0.000 0.000
Nd 2.267 0.000 5.663
Al 2.267 -7.031 8.494



6.
8
Lattice="-1.194 -3.606 -2.248 0.854 -0.276 4.321 -9.147 1.830 1.925" Properties=species:S:1:pos:R:3 comment="PrNdAl2Pd4 | OQMD via LeMat-Bulk | PBE | relaxed" total_energy_ev_per_cell=-44.743 pbc="T T T"
Pd -1.442 -1.063 2.471
Nd -0.512 -2.496 -0.058
Pd -6.730 -1.251 1.251
Al -6.874 1.375 1.446
Pd -3.440 -1.910 0.558
Al -2.273 0.455 0.478
Pr -4.402 -0.471 3.094
Pd -7.362 0.122 3.717



7.
8
Lattice="7.052 0.000 0.000 0.000 2.128 5.500 0.000 -2.128 5.500" Properties=species:S:1:pos:R:3 comment="PrNdAl4Pd2 | OQMD via LeMat-Bulk | PBE | relaxed" total_energy_ev_per_cell=-40.787 pbc="T T T"
Al 4.900 0.000 1.735
Al 5.685 0.000 9.262
Pd 0.000 0.000 3.119
Pd 3.526 0.000 7.887
Pr 3.526 0.000 4.840
Al 2.152 0.000 1.735
Nd 0.000 0.000 6.163
Al 1.367 0.000 9.262



8.
9
Lattice="5.214 -2.168 0.000 5.214 2.168 0.000 -1.263 0.000 8.683" Properties=species:S:1:pos:R:3 comment="PrNd2Al2Pd4 | OQMD via LeMat-Bulk | PBE | relaxed" total_energy_ev_per_cell=-49.847 pbc="T T T"
Pd 9.066 0.000 3.135
Pd 7.408 0.000 0.776
Pr 0.000 0.000 0.000
Al 6.093 0.000 6.835
Pd 0.100 0.000 5.548
Nd 3.150 0.000 5.345
Nd 6.016 0.000 3.338
Al 3.073 0.000 1.848
Pd 1.757 0.000 7.908



9.
8
Lattice="-3.514 1.449 2.205 3.159 -2.211 2.108 4.591 8.320 1.848" Properties=species:S:1:pos:R:3 comment="Nd2Al2PdPt3 | OQMD via LeMat-Bulk | PBE | relaxed" total_energy_ev_per_cell=-48.857 pbc="T T T"
Al 1.006 4.390 3.097
Pt 1.240 -0.437 2.263
Pd 4.244 7.691 1.709
Pt 2.643 4.789 1.064
Pt 2.900 2.571 2.932
Nd 1.150 2.084 0.463
Nd 4.364 5.225 3.521
Al -1.256 0.291 2.186



10.
8
Lattice="-4.219 -0.340 1.250 1.780 -3.073 -2.620 2.676 -4.997 7.679" Properties=species:S:1:pos:R:3 comment="Nd2Al2Pd3Pt | OQMD via LeMat-Bulk | PBE | relaxed" total_energy_ev_per_cell=-46.204 pbc="T T T"
Nd 1.789 -5.913 4.434
Pd 0.930 -4.310 1.971
Pt -0.031 -2.514 -0.789
Al -0.880 -3.753 3.805
Pd 2.467 -4.607 7.080
Nd 0.662 -1.235 1.898
Al -2.202 -1.283 0.010
Pd 1.533 -2.862 4.398



11.
6
Lattice="-2.641 -0.931 4.772 5.371 -1.240 -0.476 1.008 3.865 1.312" Properties=species:S:1:pos:R:3 comment="NdAlPdPt3 | OQMD via LeMat-Bulk | PBE | relaxed" total_energy_ev_per_cell=-36.892 pbc="T T T"
Pt 1.840 1.370 1.286
Pt 4.554 0.744 1.045
Al 0.000 0.000 0.000
Nd 0.030 -1.034 3.023
Pt 3.220 0.274 3.456
Pd 2.700 -1.137 1.273



12.
9
Lattice="4.284 0.000 0.000 0.000 6.039 3.479 0.000 -6.039 3.479" Properties=species:S:1:pos:R:3 comment="NdY2Al3Si2Pd | OQMD via LeMat-Bulk | PBE | relaxed" total_energy_ev_per_cell=-51.937 pbc="T T T"
Al 2.142 4.594 4.293
Si 2.142 -2.063 3.493
Y 0.000 3.514 2.037
Si 2.142 2.063 3.493
Nd 0.000 0.000 2.913
Al 2.142 -4.594 4.293
Al 2.142 0.000 5.320
Pd 0.000 0.000 6.910
Y 0.000 -3.514 2.037



13.
9
Lattice="-2.235 -4.631 -2.142 -0.870 -5.157 1.920 -7.422 3.513 2.948" Properties=species:S:1:pos:R:3 comment="NdSm2Al2Pd4 | OQMD via LeMat-Bulk | PBE | relaxed" total_energy_ev_per_cell=-49.909 pbc="T T T"
Sm -4.798 -4.749 0.998
Sm -5.730 -1.525 1.728
Pd -7.625 0.449 2.620
Al -7.947 -3.890 2.167
Pd -5.002 1.390 1.860
Pd -2.903 -6.724 0.106
Pd -5.526 -7.664 0.865
Al -2.581 -2.385 0.559
Nd 0.000 0.000 0.000



14.
8
Lattice="-2.550 -2.206 3.050 4.408 -1.023 -0.443 2.130 6.397 6.406" Properties=species:S:1:pos:R:3 comment="Nd2AlSnPd4 | OQMD via LeMat-Bulk | PBE | relaxed" total_energy_ev_per_cell=-44.763 pbc="T T T"
Al 0.000 0.000 0.000
Sn 1.065 3.199 3.203
Pd 4.060 4.506 6.653
Nd 2.614 0.161 2.302
Nd 1.373 3.008 6.711
Pd 3.334 2.325 4.468
Pd -0.073 -1.337 2.361
Pd 0.653 0.844 4.545



15.
8
Lattice="-3.501 -0.342 -2.626 1.680 -3.585 1.897 -5.593 1.240 7.295" Properties=species:S:1:pos:R:3 comment="TbNdAl2Pd4 | OQMD via LeMat-Bulk | PBE | relaxed" total_energy_ev_per_cell=-44.870 pbc="T T T"
Pd -1.859 0.412 2.425
Nd 0.000 0.000 0.000
Al -5.940 -0.499 4.316
Tb -2.844 -1.884 4.037
Pd -1.056 -2.280 1.705
Al -3.201 -1.107 0.743
Pd -3.734 0.828 4.871
Pd -4.631 -1.488 6.369



16.
8
Lattice="-0.963 -1.575 -3.976 2.784 -2.168 2.601 -7.044 -4.743 3.585" Properties=species:S:1:pos:R:3 comment="NdTmAl2Pd4 | OQMD via LeMat-Bulk | PBE | relaxed" total_energy_ev_per_cell=-44.800 pbc="T T T"
Nd 0.000 0.000 0.000
Al -3.685 -5.485 3.065
Pd -5.461 -5.643 1.141
Pd -4.665 -3.142 2.374
Pd -1.011 -2.646 -1.124
Tm -3.236 -4.144 0.009
Al -0.289 -3.199 1.337
Pd -2.379 -1.602 1.211



17.
8
Lattice="4.367 0.000 0.000 -2.183 3.782 0.000 0.000 0.000 9.052" Properties=species:S:1:pos:R:3 comment="NdZrAl2Pd4 | OQMD via LeMat-Bulk | PBE | relaxed" total_energy_ev_per_cell=-48.211 pbc="T T T"
Al 2.183 1.261 6.586
Zr 0.000 2.521 4.526
Pd 0.000 0.000 5.938
Al 2.183 1.261 2.467
Nd 0.000 0.000 0.000
Pd 0.000 2.521 7.372
Pd 0.000 0.000 3.115
Pd 0.000 2.521 1.680



18.
3
Lattice="-4.713 0.647 1.905 -1.921 4.720 0.537 -3.802 1.581 -3.050" Properties=species:S:1:pos:R:3 comment="PmNdAl | OQMD via LeMat-Bulk | PBE | relaxed" total_energy_ev_per_cell=-11.836 pbc="T T T"
Pm 0.000 0.000 0.000
Al -2.609 1.737 -0.152
Nd -7.826 5.211 -0.456



19.
8
Lattice="-0.164 -6.376 -1.504 4.151 3.997 -3.121 3.196 -0.833 3.185" Properties=species:S:1:pos:R:3 comment="PrNdAl6 | OQMD via LeMat-Bulk | PBE | relaxed" total_energy_ev_per_cell=-35.580 pbc="T T T"
Al 2.174 1.772 -1.719
Al 4.851 -1.116 -1.856
Al 3.160 -0.106 0.106
Al 4.921 1.589 -1.218
Al 2.105 -0.921 -2.354
Nd 0.000 0.000 0.000
Al 3.858 0.767 -3.672
Pr 2.872 -3.335 -0.450



20.
12
Lattice="8.767 0.000 0.000 0.000 4.383 0.000 0.000 0.000 7.345" Properties=species:S:1:pos:R:3 comment="PrNdAl4 | OQMD via LeMat-Bulk | PBE | relaxed" total_energy_ev_per_cell=-51.171 pbc="T T T"
Al 0.000 0.000 0.000
Al 8.755 2.192 2.047
Pr 6.575 0.000 5.190
Nd 2.192 0.000 5.235
Al 4.396 2.192 2.047
Al 2.192 2.192 0.006
Pr 2.192 0.000 2.155
Al 4.371 2.192 5.298
Al 0.012 2.192 5.298
Nd 6.575 0.000 2.111
Al 6.575 2.192 7.339
Al 4.384 0.000 0.000